i) Compound: NdY5Sc2
Source: Alexandria
Functional: PBE
Structure: optimized geometry

Output
**Symmetry**: No. 55

Cell lengths 7.0866, 12.1828, 11.3392 Å; angles 90.00, 90.00, 90.00 degrees
With the nearest neighbours (Å) after each atom.
Atoms (fractional coordinates):
Nd: 0.5000 0.4210 0.7546  8 Y 3.45-3.59, 4 Sc 3.47-3.54
Nd: 0.5000 0.5790 0.2454  8 Y 3.45-3.59, 4 Sc 3.47-3.54
Nd: 0.5000 0.0790 0.2546  8 Y 3.45-3.59, 4 Sc 3.47-3.54
Nd: 0.5000 0.9210 0.7454  8 Y 3.45-3.59, 4 Sc 3.47-3.54
Y: 0.7550 0.1675 0.7490  7 Y 3.46-3.61, 3 Sc 3.48-3.51, 2 Nd 3.51-3.58
Y: 0.7550 0.8325 0.2510  7 Y 3.46-3.61, 3 Sc 3.48-3.51, 2 Nd 3.51-3.58
Y: 0.2450 0.3325 0.2490  7 Y 3.46-3.61, 3 Sc 3.48-3.51, 2 Nd 3.51-3.58
Y: 0.2450 0.6675 0.7510  7 Y 3.46-3.61, 3 Sc 3.48-3.51, 2 Nd 3.51-3.58
Y: 0.2450 0.8325 0.2510  7 Y 3.46-3.61, 3 Sc 3.48-3.51, 2 Nd 3.51-3.58
Y: 0.2450 0.1675 0.7490  7 Y 3.46-3.61, 3 Sc 3.48-3.51, 2 Nd 3.51-3.58
Y: 0.7550 0.6675 0.7510  7 Y 3.46-3.61, 3 Sc 3.48-3.51, 2 Nd 3.51-3.58
Y: 0.7550 0.3325 0.2490  7 Y 3.46-3.61, 3 Sc 3.48-3.51, 2 Nd 3.51-3.58
Y: 0.5000 0.2540 0.0000  2 Nd 3.45-3.59, 8 Y 3.49-3.58, 2 Sc 3.51
Y: 0.5000 0.7460 0.0000  2 Nd 3.45-3.59, 8 Y 3.49-3.58, 2 Sc 3.51
Y: 0.5000 0.2460 0.5000  2 Nd 3.45-3.59, 8 Y 3.49-3.58, 2 Sc 3.51
Y: 0.5000 0.7540 0.5000  2 Nd 3.45-3.59, 8 Y 3.49-3.58, 2 Sc 3.51
Y: 0.0000 0.2550 0.9990  4 Sc 3.41-3.58, 8 Y 3.46-3.56
Y: 0.0000 0.7450 0.0010  4 Sc 3.41-3.58, 8 Y 3.46-3.56
Y: 0.0000 0.2450 0.4990  4 Sc 3.41-3.58, 8 Y 3.46-3.56
Y: 0.0000 0.7550 0.5010  4 Sc 3.41-3.58, 8 Y 3.46-3.56
Y: 0.7544 0.0000 0.0000  8 Y 3.48-3.61, 2 Sc 3.52, 2 Nd 3.54
Y: 0.2456 0.5000 0.5000  8 Y 3.48-3.61, 2 Sc 3.52, 2 Nd 3.54
Y: 0.2456 0.0000 0.0000  8 Y 3.48-3.61, 2 Sc 3.52, 2 Nd 3.54
Y: 0.7544 0.5000 0.5000  8 Y 3.48-3.61, 2 Sc 3.52, 2 Nd 3.54
Sc: 0.0000 0.9177 0.7454  8 Y 3.41-3.58, 2 Sc 3.42, 2 Nd 3.54
Sc: 0.0000 0.0823 0.2546  8 Y 3.41-3.58, 2 Sc 3.42, 2 Nd 3.54
Sc: 0.0000 0.5823 0.2454  8 Y 3.41-3.58, 2 Sc 3.42, 2 Nd 3.54
Sc: 0.0000 0.4177 0.7546  8 Y 3.41-3.58, 2 Sc 3.42, 2 Nd 3.54
Sc: 0.7582 0.0000 0.5000  4 Sc 3.42-3.66, 6 Y 3.44-3.51, 2 Nd 3.47
Sc: 0.2418 0.5000 0.0000  4 Sc 3.42-3.66, 6 Y 3.44-3.51, 2 Nd 3.47
Sc: 0.2418 0.0000 0.5000  4 Sc 3.42-3.66, 6 Y 3.44-3.51, 2 Nd 3.47
Sc: 0.7582 0.5000 0.0000  4 Sc 3.42-3.66, 6 Y 3.44-3.51, 2 Nd 3.47

***

ii) Compound: NdY5Sc2
Source: Alexandria
Functional: PBE
Structure: optimized geometry

Output
**Symmetry**: No. 63

Cell lengths 5.3546, 6.3699, 16.0379 Å; angles 90.00, 90.00, 114.85 degrees
With the nearest neighbours (Å) after each atom.
Atoms (fractional coordinates):
Nd: 0.7529 0.5058 0.7500  4 Sc 3.17, 3 Y 3.21-3.29
Nd: 0.2471 0.4942 0.2500  4 Sc 3.17, 3 Y 3.21-3.29
Y: 0.9444 0.8888 0.9021  1 Nd 3.29, 1 Sc 3.35, 8 Y 3.39-3.65
Y: 0.9444 0.8888 0.5979  1 Nd 3.29, 1 Sc 3.35, 8 Y 3.39-3.65
Y: 0.3570 0.7139 0.4609  3 Sc 3.32, 6 Y 3.54-3.65, 1 Nd 3.61
Y: 0.3570 0.7139 0.0391  3 Sc 3.32, 6 Y 3.54-3.65, 1 Nd 3.61
Y: 0.5252 0.0503 0.2500  1 Nd 3.21, 2 Sc 3.32
Y: 0.4748 0.9497 0.7500  1 Nd 3.21, 2 Sc 3.32
Y: 0.6430 0.2861 0.5391  3 Sc 3.32, 6 Y 3.54-3.65, 1 Nd 3.61
Y: 0.6430 0.2861 0.9609  3 Sc 3.32, 6 Y 3.54-3.65, 1 Nd 3.61
Y: 0.0556 0.1112 0.0979  1 Nd 3.29, 1 Sc 3.35, 8 Y 3.39-3.65
Y: 0.0556 0.1112 0.4021  1 Nd 3.29, 1 Sc 3.35, 8 Y 3.39-3.65
Sc: 0.7734 0.5469 0.3546  2 Nd 3.17, 5 Y 3.32-3.35, 1 Sc 3.35
Sc: 0.7734 0.5469 0.1454  2 Nd 3.17, 5 Y 3.32-3.35, 1 Sc 3.35
Sc: 0.2266 0.4531 0.6454  2 Nd 3.17, 5 Y 3.32-3.35, 1 Sc 3.35
Sc: 0.2266 0.4531 0.8546  2 Nd 3.17, 5 Y 3.32-3.35, 1 Sc 3.35

***

In order of decreasing stability: i), ii).

***

i) Compound: Nd7Y4Sc
Source: Alexandria
Functional: PBE
Structure: optimized geometry

Output
**Symmetry**: No. 2

Cell lengths 7.2888, 9.6205, 11.5798 Å; angles 68.89, 50.96, 40.70 degrees
With the nearest neighbours (Å) after each atom.
Atoms (fractional coordinates):
Nd: 0.7456 0.5002 0.0000  2 Y 3.57, 8 Nd 3.58-3.71, 2 Sc 3.61
Nd: 0.2544 0.4998 0.0000  2 Y 3.57, 8 Nd 3.58-3.71, 2 Sc 3.61
Nd: 0.1134 0.2190 0.6674  1 Sc 3.57, 5 Nd 3.57-3.65, 6 Y 3.59-3.64
Nd: 0.8866 0.7810 0.3326  1 Sc 3.57, 5 Nd 3.57-3.65, 6 Y 3.59-3.64
Nd: 0.3910 0.7733 0.3357  6 Nd 3.60-3.65, 6 Y 3.60-3.66
Nd: 0.5000 0.0000 0.0000  4 Y 3.58, 6 Nd 3.62-3.64, 2 Sc 3.64
Nd: 0.6090 0.2267 0.6643  6 Nd 3.60-3.65, 6 Y 3.60-3.66
Y: 0.6411 0.2753 0.3300  1 Sc 3.56, 8 Nd 3.57-3.66, 3 Y 3.59-3.70
Y: 0.3589 0.7247 0.6700  1 Sc 3.56, 8 Nd 3.57-3.66, 3 Y 3.59-3.70
Y: 0.8512 0.7247 0.6702  1 Sc 3.55, 8 Nd 3.57-3.66, 3 Y 3.59-3.70
Y: 0.1488 0.2753 0.3298  1 Sc 3.55, 8 Nd 3.57-3.66, 3 Y 3.59-3.70
Sc: 0.0000 0.0000 0.0000  4 Y 3.55-3.56, 8 Nd 3.57-3.64

***

ii) Compound: Nd7Y4Sc
Source: Alexandria
Functional: PBE
Structure: optimized geometry

Output
**Symmetry**: No. 12

Cell lengths 5.9333, 8.7974, 9.6650 Å; angles 61.41, 72.12, 70.29 degrees
With the nearest neighbours (Å) after each atom.
Atoms (fractional coordinates):
Nd: 0.8313 0.9566 0.3809  6 Y 3.25-3.62, 1 Sc 3.37
Nd: 0.1687 0.0434 0.6191  6 Y 3.25-3.62, 1 Sc 3.37
Nd: 0.0719 0.5658 0.2904  1 Y 3.35, 1 Sc 3.47, 4 Nd 3.54-3.68
Nd: 0.9281 0.4342 0.7096  1 Y 3.35, 1 Sc 3.47, 4 Nd 3.54-3.68
Nd: 0.2821 0.5586 0.8772  4 Y 3.40-3.60, 5 Nd 3.61-3.71
Nd: 0.5000 0.0000 0.0000  2 Sc 2.97, 2 Y 3.16
Nd: 0.7179 0.4414 0.1228  4 Y 3.40-3.60, 5 Nd 3.61-3.71
Y: 0.5846 0.2785 0.5523  2 Y 3.38-3.57, 7 Nd 3.46-3.79
Y: 0.4154 0.7215 0.4477  2 Y 3.38-3.57, 7 Nd 3.46-3.79
Y: 0.7125 0.8068 0.7682  8 Nd 3.16-3.51
Y: 0.2875 0.1932 0.2318  8 Nd 3.16-3.51
Sc: 0.0000 0.0000 0.0000  2 Nd 2.97

***

In order of decreasing stability: i), ii).

***

i) Compound: Nd2Y6Sc
Source: Alexandria
Functional: PBE
Structure: optimized geometry

Output
**Symmetry**: No. 15

Cell lengths 6.0854, 10.0613, 10.0613 Å; angles 70.34, 84.47, 84.47 degrees
With the nearest neighbours (Å) after each atom.
Atoms (fractional coordinates):
Nd: 0.4370 0.5676 0.7748  10 Y 3.45-3.85
Nd: 0.0630 0.2252 0.4324  10 Y 3.45-3.85
Nd: 0.5630 0.4324 0.2252  10 Y 3.45-3.85
Nd: 0.9370 0.7748 0.5676  10 Y 3.45-3.85
Y: 0.4892 0.6904 0.4080  4 Y 3.33-3.65, 1 Sc 3.41, 4 Nd 3.47-3.73
Y: 0.0108 0.5920 0.3096  4 Y 3.33-3.65, 1 Sc 3.41, 4 Nd 3.47-3.73
Y: 0.5108 0.3096 0.5920  4 Y 3.33-3.65, 1 Sc 3.41, 4 Nd 3.47-3.73
Y: 0.9892 0.4080 0.6904  4 Y 3.33-3.65, 1 Sc 3.41, 4 Nd 3.47-3.73
Y: 0.6367 0.0680 0.3419  4 Y 3.35-3.50, 1 Sc 3.38, 3 Nd 3.45-3.53
Y: 0.8633 0.6581 0.9320  4 Y 3.35-3.50, 1 Sc 3.38, 3 Nd 3.45-3.53
Y: 0.3633 0.9320 0.6581  4 Y 3.35-3.50, 1 Sc 3.38, 3 Nd 3.45-3.53
Y: 0.1367 0.3419 0.0680  4 Y 3.35-3.50, 1 Sc 3.38, 3 Nd 3.45-3.53
Y: 0.3280 0.7596 0.0244  2 Sc 3.27-3.31, 5 Y 3.33-3.57, 2 Nd 3.48-3.63
Y: 0.1720 0.9756 0.2404  2 Sc 3.27-3.31, 5 Y 3.33-3.57, 2 Nd 3.48-3.63
Y: 0.6720 0.2404 0.9756  2 Sc 3.27-3.31, 5 Y 3.33-3.57, 2 Nd 3.48-3.63
Y: 0.8280 0.0244 0.7596  2 Sc 3.27-3.31, 5 Y 3.33-3.57, 2 Nd 3.48-3.63
Sc: 0.2500 0.1037 0.8963  8 Y 3.27-3.41
Sc: 0.7500 0.8963 0.1037  8 Y 3.27-3.41

***

ii) Compound: Nd2Y6Sc
Source: Alexandria
Functional: PBE
Structure: optimized geometry

Output
**Symmetry**: No. 2

Cell lengths 6.2695, 13.3189, 9.5843 Å; angles 117.89, 116.02, 60.55 degrees
With the nearest neighbours (Å) after each atom.
Atoms (fractional coordinates):
Nd: 0.5855 0.3919 0.7274  3 Nd 3.48-3.83, 8 Y 3.51-3.70
Nd: 0.8937 0.4093 0.5179  4 Nd 3.47-3.83, 6 Y 3.53-3.73
Nd: 0.4145 0.6081 0.2726  3 Nd 3.48-3.83, 8 Y 3.51-3.70
Nd: 0.1063 0.5907 0.4821  4 Nd 3.47-3.83, 6 Y 3.53-3.73
Y: 0.5754 0.8391 0.6502  2 Sc 3.41-3.50, 7 Y 3.54-3.76, 2 Nd 3.61-3.68
Y: 0.9256 0.3595 0.1177  1 Sc 3.26, 4 Y 3.37-3.60, 3 Nd 3.51-3.59
Y: 0.4246 0.1609 0.3498  2 Sc 3.41-3.50, 7 Y 3.54-3.76, 2 Nd 3.61-3.68
Y: 0.0744 0.6405 0.8823  1 Sc 3.26, 4 Y 3.37-3.60, 3 Nd 3.51-3.59
Y: 0.9234 0.8722 0.4349  1 Sc 3.29, 7 Y 3.36-3.65, 2 Nd 3.53-3.56
Y: 0.7385 0.6401 0.0762  7 Y 3.37-3.74, 1 Sc 3.46, 4 Nd 3.58-3.73
Y: 0.0766 0.1278 0.5651  1 Sc 3.29, 7 Y 3.36-3.65, 2 Nd 3.53-3.56
Y: 0.2615 0.3599 0.9238  7 Y 3.37-3.74, 1 Sc 3.46, 4 Nd 3.58-3.73
Y: 0.1986 0.8447 0.8443  2 Sc 3.24-3.33, 5 Y 3.38-3.55, 1 Nd 3.61
Y: 0.2992 0.8924 0.2534  1 Sc 3.26, 7 Y 3.36-3.65, 1 Nd 3.57
Y: 0.8014 0.1553 0.1557  2 Sc 3.24-3.33, 5 Y 3.38-3.55, 1 Nd 3.61
Y: 0.7008 0.1076 0.7466  1 Sc 3.26, 7 Y 3.36-3.65, 1 Nd 3.57
Sc: 0.2875 0.0956 0.9277  1 Sc 2.98, 5 Y 3.24-3.33
Sc: 0.7125 0.9044 0.0723  1 Sc 2.98, 5 Y 3.24-3.33

***

In order of decreasing stability: i), ii).

***

i) Compound: NdY3Sc
Source: Alexandria
Functional: PBE
Structure: optimized geometry

Output
**Symmetry**: No. 15

Cell lengths 6.5525, 11.0078, 11.0078 Å; angles 52.86, 86.17, 86.17 degrees
With the nearest neighbours (Å) after each atom.
Atoms (fractional coordinates):
Nd: 0.7500 0.1050 0.8950  3 Nd 3.44-3.56, 8 Y 3.60-3.81
Nd: 0.2500 0.8950 0.1050  3 Nd 3.44-3.56, 8 Y 3.60-3.81
Nd: 0.7500 0.7537 0.2463  8 Y 3.43-3.79, 3 Nd 3.44-3.56
Nd: 0.2500 0.2463 0.7537  8 Y 3.43-3.79, 3 Nd 3.44-3.56
Y: 0.9023 0.0486 0.2519  3 Sc 3.31-3.51, 2 Nd 3.50-3.60, 3 Y 3.51-3.71
Y: 0.5977 0.7481 0.9514  3 Sc 3.31-3.51, 2 Nd 3.50-3.60, 3 Y 3.51-3.71
Y: 0.0977 0.9514 0.7481  3 Sc 3.31-3.51, 2 Nd 3.50-3.60, 3 Y 3.51-3.71
Y: 0.4023 0.2519 0.0486  3 Sc 3.31-3.51, 2 Nd 3.50-3.60, 3 Y 3.51-3.71
Y: 0.5853 0.0895 0.5797  3 Sc 3.26-3.39, 5 Y 3.37-3.60
Y: 0.9147 0.4203 0.9105  3 Sc 3.26-3.39, 5 Y 3.37-3.60
Y: 0.4147 0.9105 0.4203  3 Sc 3.26-3.39, 5 Y 3.37-3.60
Y: 0.0853 0.5797 0.0895  3 Sc 3.26-3.39, 5 Y 3.37-3.60
Y: 0.9013 0.3685 0.4794  2 Sc 3.20-3.45, 5 Y 3.37-3.53, 2 Nd 3.43-3.49
Y: 0.5987 0.5206 0.6315  2 Sc 3.20-3.45, 5 Y 3.37-3.53, 2 Nd 3.43-3.49
Y: 0.0987 0.6315 0.5206  2 Sc 3.20-3.45, 5 Y 3.37-3.53, 2 Nd 3.43-3.49
Y: 0.4013 0.4794 0.3685  2 Sc 3.20-3.45, 5 Y 3.37-3.53, 2 Nd 3.43-3.49
Sc: 0.6784 0.3520 0.2150  8 Y 3.20-3.51, 2 Sc 3.54
Sc: 0.8216 0.7850 0.6480  8 Y 3.20-3.51, 2 Sc 3.54
Sc: 0.3216 0.6480 0.7850  8 Y 3.20-3.51, 2 Sc 3.54
Sc: 0.1784 0.2150 0.3520  8 Y 3.20-3.51, 2 Sc 3.54

***

ii) Compound: NdY3Sc
Source: Alexandria
Functional: PBE
Structure: optimized geometry

Output
**Symmetry**: No. 59

Cell lengths 3.7924, 9.0511, 10.5477 Å; angles 90.00, 90.00, 114.76 degrees
With the nearest neighbours (Å) after each atom.
Atoms (fractional coordinates):
Nd: 0.3026 0.5526 0.2500  2 Sc 3.14, 1 Y 3.23
Nd: 0.6974 0.4474 0.7500  2 Sc 3.14, 1 Y 3.23
Y: 0.9854 0.2353 0.9900  2 Sc 3.34, 3 Y 3.50-3.63, 2 Nd 3.61
Y: 0.0146 0.7647 0.0100  2 Sc 3.34, 3 Y 3.50-3.63, 2 Nd 3.61
Y: 0.9854 0.2353 0.5100  2 Sc 3.34, 3 Y 3.50-3.63, 2 Nd 3.61
Y: 0.0146 0.7647 0.4900  2 Sc 3.34, 3 Y 3.50-3.63, 2 Nd 3.61
Y: 0.6958 0.9459 0.2500  2 Sc 3.13, 1 Nd 3.23, 4 Y 3.50
Y: 0.3042 0.0541 0.7500  2 Sc 3.13, 1 Nd 3.23, 4 Y 3.50
Sc: 0.4987 0.2487 0.2500  6 Y 3.13-3.34, 2 Nd 3.14
Sc: 0.5013 0.7513 0.7500  6 Y 3.13-3.34, 2 Nd 3.14

***

In order of decreasing stability: i), ii).